[1]
Entry from Alexandria via LeMat-Bulk: crystalline MgTe2Ru at its relaxed geometry (PBE).

a = 3.3659 Å, b = 3.3659 Å, c = 7.5209 Å
α = 90.00°, β = 90.00°, γ = 90.00°
Space group P4/mmm (No. 123)
Inequivalent atoms, fractional coordinates:
Mg 0.0000 0.0000 0.0000 x1
Te 0.5000 0.5000 0.2806 x2
Ru 0.0000 0.0000 0.5000 x1

formation energy without anion corrections: 31 kJ/mol of formula units



[2]
Entry from Alexandria via LeMat-Bulk: crystalline NbCr4C at its relaxed geometry (PBE).

a = 7.3195 Å, b = 2.9901 Å, c = 6.3250 Å
α = 90.00°, β = 90.00°, γ = 90.00°
Space group Pmma (No. 51)
Inequivalent atoms, fractional coordinates:
Nb 0.2500 0.0000 0.0915 x2
Cr 0.0000 0.0000 0.5000 x2
Cr 0.0658 0.5000 0.8046 x4
Cr 0.2500 0.5000 0.4571 x2
C 0.2500 0.0000 0.7040 x2



[3]
Entry from Alexandria via LeMat-Bulk: crystalline ErSc2Al at its relaxed geometry (PBE).

a = 3.3198 Å, b = 3.3198 Å, c = 8.5274 Å
α = 90.00°, β = 90.00°, γ = 90.00°
Space group P4/mmm (No. 123)
Inequivalent atoms, fractional coordinates:
Er 0.0000 0.0000 0.0000 x1
Sc 0.5000 0.5000 0.2875 x2
Al 0.0000 0.0000 0.5000 x1



[4]
Entry from Alexandria via LeMat-Bulk: crystalline Li2CuSi2 at its relaxed geometry (PBE).

a = 9.0420 Å, b = 4.1656 Å, c = 8.0928 Å
α = 90.00°, β = 106.30°, γ = 90.00°
Space group C2/m (No. 12)
Inequivalent atoms, fractional coordinates:
Li 0.0535 0.0000 0.3568 x4
Li 0.1683 0.0000 0.0699 x4
Cu 0.2420 0.5000 0.3446 x4
Si 0.0040 0.5000 0.8551 x4
Si 0.1260 0.5000 0.6068 x4

formation energy without anion corrections: -68 kJ/mol of formula units



[5]
Entry from Alexandria via LeMat-Bulk: crystalline Fe3Co5 at its relaxed geometry (PBE).

a = 3.9847 Å, b = 3.9847 Å, c = 11.4342 Å
α = 90.00°, β = 90.00°, γ = 90.00°
Space group I4mm (No. 107)
Inequivalent atoms, fractional coordinates:
Fe 0.0000 0.0000 0.0000 x2
Fe 0.0000 0.5000 0.1294 x4
Co 0.0000 0.0000 0.2519 x2
Co 0.0000 0.0000 0.5056 x2
Co 0.0000 0.0000 0.7508 x2
Co 0.0000 0.5000 0.3795 x4



[6]
Entry from Alexandria via LeMat-Bulk: crystalline Ac8HRh3Cl4 at its relaxed geometry (PBE).

a = 8.5507 Å, b = 8.5507 Å, c = 24.0225 Å
α = 90.00°, β = 90.00°, γ = 120.00°
Space group R-3m (No. 166, hexagonal axes)
Inequivalent atoms, fractional coordinates:
Ac 0.0000 0.0000 0.2340 x6
Ac 0.0006 0.5003 0.2343 x18
H 0.0000 0.0000 0.5000 x3
Rh 0.0000 0.5000 0.5000 x9
Cl 0.0000 0.0000 0.0000 x3
Cl 0.0000 0.5000 0.0000 x9



no.,calculated density (Mg/m³),calculated volume (Å³ per atom),total energy (eV for the cell shown)
1,7.4,21.30,-16.832
2,7.5,11.54,-115.918
3,5.0,23.50,-21.800
4,3.0,14.63,-77.900
5,8.5,11.35,-121.704
6,7.4,31.69,-250.911